a:
A plane-wave DFT calculation with PBE-GGA was carried out for YCr2Re after structural relaxation.

The structure in CIF format:
```
data_YCr2Re
_cell_length_a 3.0083
_cell_length_b 3.0083
_cell_length_c 25.7644
_cell_angle_alpha 90.00
_cell_angle_beta 90.00
_cell_angle_gamma 120.00
_symmetry_space_group_name_H-M 'R -3 m'
_symmetry_Int_Tables_number 166
_symmetry_space_group_name_Hall '-R 3 2"'
loop_
_atom_site_label
_atom_site_type_symbol
_atom_site_fract_x
_atom_site_fract_y
_atom_site_fract_z
_atom_site_occupancy
Y1 Y 0.0000 0.0000 0.0000 1
Cr1 Cr 0.0000 0.0000 0.2367 1
Re1 Re 0.0000 0.0000 0.5000 1
```

b:
A plane-wave DFT calculation with PBE-GGA was carried out for YCr2Re after structural relaxation.

The structure in CIF format:
```
data_YCr2Re
_cell_length_a 3.129
_cell_length_b 4.570
_cell_length_c 8.781
_cell_angle_alpha 90.00
_cell_angle_beta 90.00
_cell_angle_gamma 90.00
_symmetry_space_group_name_H-M 'C m m 2'
_symmetry_Int_Tables_number 35
_symmetry_space_group_name_Hall 'C 2 -2'
loop_
_atom_site_label
_atom_site_type_symbol
_atom_site_fract_x
_atom_site_fract_y
_atom_site_fract_z
_atom_site_occupancy
Y1 Y 0.000 0.000 0.000 1
Cr1 Cr 0.000 0.000 0.480 1
Cr2 Cr 0.000 0.500 0.285 1
Re1 Re 0.000 0.500 0.706 1
```

c:
A plane-wave DFT calculation with PBE-GGA was carried out for YCr2Re after structural relaxation.

The structure in CIF format:
```
data_YCr2Re
_cell_length_a 9.260
_cell_length_b 3.063
_cell_length_c 5.138
_cell_angle_alpha 90.00
_cell_angle_beta 108.88
_cell_angle_gamma 90.00
_symmetry_space_group_name_H-M 'C 1 m 1'
_symmetry_Int_Tables_number 8
_symmetry_space_group_name_Hall 'C -2y'
loop_
_atom_site_label
_atom_site_type_symbol
_atom_site_fract_x
_atom_site_fract_y
_atom_site_fract_z
_atom_site_occupancy
Y1 Y 0.000 0.000 0.000 1
Cr1 Cr 0.286 0.500 0.343 1
Cr2 Cr 0.493 0.000 0.495 1
Re1 Re 0.217 0.000 0.655 1
```

Question: of the structures shown, which is the most stable? Reply: c.